(1)
A relaxed structure of Zr4InSe8. Source: the Alexandria database, functional PBE-GGA. Values from VASP.

Cell and atoms, written as Quantum ESPRESSO input:
```
&SYSTEM
  ibrav = 0, nat = 13, ntyp = 3
/
ATOMIC_SPECIES
Zr 91.22 Zr.upf
In 114.82 In.upf
Se 78.96 Se.upf
ATOMIC_POSITIONS crystal
Zr 0.000 0.000 0.000
Zr 0.000 0.500 0.500
Zr 0.500 0.000 0.500
Zr 0.500 0.500 0.000
In 0.500 0.500 0.500
Se 0.236 0.236 0.738
Se 0.236 0.738 0.236
Se 0.262 0.764 0.764
Se 0.265 0.265 0.265
Se 0.735 0.735 0.735
Se 0.738 0.236 0.236
Se 0.764 0.262 0.764
Se 0.764 0.764 0.262
CELL_PARAMETERS angstrom
3.781 2.183 7.813
-3.781 2.183 7.813
0.000 -4.366 7.813
```

Computed properties:
The formation energy (no corrections) is -120.60 kJ/mol of atoms. Its space group is R-3m (166). The calculation puts the density of states at the Fermi level at 3.70 states/eV/f.u.

(2)
A relaxed structure of Zr2InSe. Source: the Alexandria database, functional PBE-GGA. Values from VASP.

Cell and atoms, written as Quantum ESPRESSO input:
```
&SYSTEM
  ibrav = 0, nat = 4, ntyp = 3
/
ATOMIC_SPECIES
Zr 91.22 Zr.upf
In 114.82 In.upf
Se 78.96 Se.upf
ATOMIC_POSITIONS crystal
Zr 0.000 0.500 0.000
Zr 0.500 0.000 0.000
In 0.000 0.000 0.500
Se 0.500 0.500 0.500
CELL_PARAMETERS angstrom
5.080 0.000 0.000
0.000 5.080 0.000
0.000 0.000 3.285
```

Computed properties:
The formation energy (no corrections) is -44.07 kJ/mol of atoms. Its space group is P4/mmm (123). The calculation puts the density of states at the Fermi level at 3.60 states/eV/f.u.

(3)
A relaxed structure of Zr2InSe2. Source: the Alexandria database, functional PBE-GGA. Values from VASP.

Cell and atoms, written as Quantum ESPRESSO input:
```
&SYSTEM
  ibrav = 0, nat = 10, ntyp = 3
/
ATOMIC_SPECIES
Zr 91.22 Zr.upf
In 114.82 In.upf
Se 78.96 Se.upf
ATOMIC_POSITIONS crystal
Zr 0.149 0.351 0.000
Zr 0.351 0.851 0.000
Zr 0.649 0.149 0.000
Zr 0.851 0.649 0.000
In 0.000 0.000 0.000
In 0.500 0.500 0.000
Se 0.139 0.639 0.500
Se 0.361 0.139 0.500
Se 0.639 0.861 0.500
Se 0.861 0.361 0.500
CELL_PARAMETERS angstrom
7.848 0.000 0.000
0.000 7.848 0.000
0.000 0.000 3.450
```

Computed properties:
The formation energy (no corrections) is -75.39 kJ/mol of atoms. Its space group is P4/mbm (127). The calculation puts the density of states at the Fermi level at 3.40 states/eV/f.u.

(4)
A relaxed structure of Zr2InSe. Source: the Alexandria database, functional PBE-GGA. Values from VASP.

Cell and atoms, written as Quantum ESPRESSO input:
```
&SYSTEM
  ibrav = 0, nat = 8, ntyp = 3
/
ATOMIC_SPECIES
Zr 91.22 Zr.upf
In 114.82 In.upf
Se 78.96 Se.upf
ATOMIC_POSITIONS crystal
Zr 0.218 0.000 0.218
Zr 0.282 0.500 0.782
Zr 0.718 0.500 0.218
Zr 0.782 0.000 0.782
In 0.000 0.000 0.500
In 0.500 0.500 0.500
Se 0.000 0.500 0.000
Se 0.500 0.000 0.000
CELL_PARAMETERS angstrom
9.848 0.000 0.000
0.000 3.919 0.000
-2.889 0.000 4.507
```

Computed properties:
The formation energy (no corrections) is -46.69 kJ/mol of atoms. Its space group is C2/m (12). The calculation puts the density of states at the Fermi level at 1.90 states/eV/f.u.